[1]
Material: Si2As
Method: DFT, PBEsol
State: optimized geometry

The structure in CIF format:
```
data_Si2As
_chemical_formula_sum 'Si4 As2'
_cell_length_a 3.157
_cell_length_b 3.157
_cell_length_c 9.497
_cell_angle_alpha 90.00
_cell_angle_beta 90.00
_cell_angle_gamma 90.00
_space_group_name_H-M_alt 'I 4/m m m'
_space_group_IT_number 139
_space_group_name_Hall '-I 4 2'
loop_
_atom_site_label
_atom_site_type_symbol
_atom_site_fract_x
_atom_site_fract_y
_atom_site_fract_z
_atom_site_occupancy
Si1 Si 0.000 0.000 0.178 1
As1 As 0.000 0.000 0.500 1
```

## Properties
Total energy   -30.8 eV per cell
Formation energy without anion corrections   404 meV per atom



[2]
Material: KHgS2N
Method: DFT, PBEsol
State: optimized geometry

The structure in CIF format:
```
data_KHgS2N
_chemical_formula_sum 'K1 Hg1 S2 N1'
_cell_length_a 5.117
_cell_length_b 5.117
_cell_length_c 4.316
_cell_angle_alpha 90.00
_cell_angle_beta 90.00
_cell_angle_gamma 90.00
_space_group_name_H-M_alt 'P 4/m m m'
_space_group_IT_number 123
_space_group_name_Hall '-P 4 2'
loop_
_atom_site_label
_atom_site_type_symbol
_atom_site_fract_x
_atom_site_fract_y
_atom_site_fract_z
_atom_site_occupancy
K1 K 0.000 0.000 0.000 1
Hg1 Hg 0.500 0.500 0.500 1
S1 S 0.000 0.500 0.500 1
N1 N 0.500 0.500 0.000 1
```

## Properties
Total energy   -15.5 eV per cell
Formation energy without anion corrections   702 meV per atom



[3]
Material: LiHg2Au
Method: DFT, PBEsol
State: optimized geometry

The structure in CIF format:
```
data_LiHg2Au
_chemical_formula_sum 'Li1 Hg2 Au1'
_cell_length_a 3.322
_cell_length_b 3.494
_cell_length_c 6.355
_cell_angle_alpha 90.00
_cell_angle_beta 90.00
_cell_angle_gamma 90.00
_space_group_name_H-M_alt 'P m m 2'
_space_group_IT_number 25
loop_
_space_group_symop_operation_xyz
'x,y,z'
'-x,-y,z'
'-x,y,z'
'x,-y,z'
loop_
_atom_site_label
_atom_site_type_symbol
_atom_site_fract_x
_atom_site_fract_y
_atom_site_fract_z
_atom_site_occupancy
Li1 Li 0.000 0.000 0.000 1
Hg1 Hg 0.000 0.000 0.459 1
Hg2 Hg 0.500 0.500 0.756 1
Au1 Au 0.500 0.500 0.202 1
```

## Properties
Total energy   -8.0 eV per cell
Energy of formation   -0.25 eV per atom



[4]
Material: CoTc2NO
Method: DFT, PBEsol
State: optimized geometry

The structure in CIF format:
```
data_CoTc2NO
_chemical_formula_sum 'Co1 Tc2 N1 O1'
_cell_length_a 3.995
_cell_length_b 3.995
_cell_length_c 3.473
_cell_angle_alpha 90.00
_cell_angle_beta 90.00
_cell_angle_gamma 90.00
_space_group_name_H-M_alt 'P 4/m m m'
_space_group_IT_number 123
_space_group_name_Hall '-P 4 2'
loop_
_atom_site_label
_atom_site_type_symbol
_atom_site_fract_x
_atom_site_fract_y
_atom_site_fract_z
_atom_site_occupancy
Co1 Co 0.000 0.000 0.000 1
Tc1 Tc 0.000 0.500 0.500 1
N1 N 0.500 0.500 0.000 1
O1 O 0.000 0.000 0.500 1
```

## Properties
Total energy   -39.4 eV per cell
Formation energy without anion corrections   930 meV per atom